No. 1
! TcBrCl3, optimized geometry, DFT PBE; values from VASP
&SYSTEM
  ibrav = 0, nat = 10, ntyp = 3
/
ATOMIC_SPECIES
Tc 98.00 Tc.upf
Br 79.90 Br.upf
Cl 35.45 Cl.upf
CELL_PARAMETERS angstrom
6.178 -3.315 0.000
6.178 3.315 0.000
-5.399 0.000 6.371
ATOMIC_POSITIONS crystal
Tc 0.202 0.798 0.000
Tc 0.798 0.202 0.000
Br 0.320 0.320 0.844
Br 0.680 0.680 0.156
Cl 0.204 0.204 0.177
Cl 0.207 0.752 0.707
Cl 0.248 0.793 0.293
Cl 0.752 0.207 0.707
Cl 0.793 0.248 0.293
Cl 0.796 0.796 0.823
! Total magnetic moment = 2.0 μB per cell
! E_tot = -4.071 eV per atom

---

No. 2
! Li6AgBi, optimized geometry, DFT PBE; values from VASP
&SYSTEM
  ibrav = 0, nat = 8, ntyp = 3
/
ATOMIC_SPECIES
Li 6.94 Li.upf
Ag 107.87 Ag.upf
Bi 208.98 Bi.upf
CELL_PARAMETERS angstrom
4.532 0.000 0.000
0.000 4.532 0.000
0.000 0.000 6.517
ATOMIC_POSITIONS crystal
Li 0.000 0.000 0.000
Li 0.000 0.500 0.241
Li 0.000 0.500 0.759
Li 0.500 0.000 0.241
Li 0.500 0.000 0.759
Li 0.500 0.500 0.500
Ag 0.500 0.500 0.000
Bi 0.000 0.000 0.500
! E_tot = -2.607 eV per atom

---

Question: Look up the E_tot of the second one.
Answer: -2.607 eV per atom

---

Question: Among the records above, which one has the highest E_tot?
Answer: Li6AgBi

---

Question: Which value of E_tot does entry 1 give?
Answer: -4.071 eV per atom